Computed, not measured: a relaxed TaTi4N4 crystal at the PBE level of DFT.

Lattice parameters (Å, degrees): 6.7179 6.7179 4.3057 90.00 90.00 90.00
Last column: nearest neighbours and their distance in Å.
Space group I4/m (No. 87)
One atom of each set of equivalent atoms:
Ta 0.0000 0.0000 0.0000 [2 per cell]  4 N 2.14
Ti 0.1020 0.6923 0.5000 [8 per cell]  5 N 2.07-2.15
N 0.1013 0.6975 0.0000 [8 per cell]  5 Ti 2.07-2.15, 1 Ta 2.14

raw formation energy: -1519 meV per atom
uncorrected energy: -10.05 eV per atom
total moment: 0.0 μB/cell

Computed, not measured: a relaxed TaTiN2 crystal at the PBE level of DFT.

Lattice parameters (Å, degrees): 5.4693 6.5836 5.6822 90.00 90.00 90.00
Last column: nearest neighbours and their distance in Å.
Space group Pna2_1 (No. 33)
One atom of each set of equivalent atoms:
Ta 0.0696 0.1451 0.0000 [4 per cell]  4 N 2.00-2.14
Ti 0.0960 0.6102 0.0312 [4 per cell]  4 N 1.99-2.05
N 0.0536 0.1232 0.6491 [4 per cell]  2 Ta 2.00-2.07, 2 Ti 2.03-2.05
N 0.0891 0.6198 0.6818 [4 per cell]  2 Ti 1.99-2.01, 2 Ta 2.05-2.14

raw formation energy: -1027 meV per atom
uncorrected energy: -10.13 eV per atom
total moment: 0.0 μB/cell

Computed, not measured: a relaxed TaTiN2 crystal at the PBE level of DFT.

Lattice parameters (Å, degrees): 4.6873 4.6873 9.3657 90.00 90.00 90.00
Last column: nearest neighbours and their distance in Å.
Space group I-42d (No. 122)
One atom of each set of equivalent atoms:
Ta 0.0000 0.0000 0.0000 [4 per cell]  4 N 2.04
Ti 0.0000 0.0000 0.5000 [4 per cell]  4 N 2.02
N 0.2476 0.2500 0.6250 [8 per cell]  2 Ti 2.02, 2 Ta 2.04

raw formation energy: -1097 meV per atom
uncorrected energy: -10.20 eV per atom
total moment: 0.0 μB/cell

Computed, not measured: a relaxed TaTiN2 crystal at the PBE level of DFT.

Lattice parameters (Å, degrees): 5.3794 5.3794 5.3794 90.00 90.00 90.00
Last column: nearest neighbours and their distance in Å.
Space group Fm-3m (No. 225)
One atom of each set of equivalent atoms:
Ta 0.0000 0.0000 0.0000 [4 per cell]  8 N 2.33
Ti 0.0000 0.0000 0.5000 [4 per cell]  8 N 2.33
N 0.2500 0.2500 0.2500 [8 per cell]  4 Ta 2.33, 4 Ti 2.33

raw formation energy: -686 meV per atom
uncorrected energy: -9.79 eV per atom
total moment: 0.0 μB/cell

Computed, not measured: a relaxed TaTiN2 crystal at the PBE level of DFT.

Lattice parameters (Å, degrees): 3.0788 3.0788 4.3338 90.00 90.00 90.00
Last column: nearest neighbours and their distance in Å.
Space group P4/mmm (No. 123)
One atom of each set of equivalent atoms:
Ta 0.0000 0.0000 0.0000 [1 per cell]  6 N 2.17-2.18
Ti 0.5000 0.5000 0.5000 [1 per cell]  6 N 2.17-2.18
N 0.0000 0.0000 0.5000 [1 per cell]  2 Ta 2.17, 4 Ti 2.18
N 0.5000 0.5000 0.0000 [1 per cell]  2 Ti 2.17, 4 Ta 2.18

raw formation energy: -1315 meV per atom
uncorrected energy: -10.41 eV per atom
total moment: 0.0 μB/cell

Computed, not measured: a relaxed Ta2Ti3N2 crystal at the PBE level of DFT.

Lattice parameters (Å, degrees): 9.9814 2.8993 7.4544 90.00 119.38 90.00
Last column: nearest neighbours and their distance in Å.
Space group C2/m (No. 12)
One atom of each set of equivalent atoms:
Ta 0.1953 0.0000 0.2989 [4 per cell]  2 N 2.19
Ti 0.0000 0.5000 0.5000 [2 per cell]  4 N 2.37, 2 Ta 2.65
Ti 0.1128 0.5000 0.9189 [4 per cell]  3 N 2.08-2.28
N 0.1701 0.0000 0.7674 [4 per cell]  3 Ti 2.08-2.28, 2 Ta 2.19

raw formation energy: -671 meV per atom
uncorrected energy: -9.82 eV per atom
total moment: 0.0 μB/cell

Computed, not measured: a relaxed TaTi3N2 crystal at the PBE level of DFT.

Lattice parameters (Å, degrees): 7.0344 7.1180 6.1135 90.00 90.00 90.00
Last column: nearest neighbours and their distance in Å.
Space group Cmcm (No. 63)
One atom of each set of equivalent atoms:
Ta 0.0000 0.2049 0.2500 [4 per cell]  3 N 2.11
Ti 0.0000 0.2074 0.7500 [4 per cell]  3 N 2.07-2.12
Ti 0.2027 0.5000 0.0000 [8 per cell]  3 N 2.09
N 0.0000 0.0000 0.0000 [4 per cell]  4 Ti 2.09-2.12, 2 Ta 2.11
N 0.0000 0.4981 0.7500 [4 per cell]  5 Ti 2.07-2.09, 1 Ta 2.11

raw formation energy: -1210 meV per atom
uncorrected energy: -9.91 eV per atom
total moment: 0.0 μB/cell
energy above the most stable polymorph in this dataset: 0 meV per atom

Computed, not measured: a relaxed TaTiN2 crystal at the PBE level of DFT.

Lattice parameters (Å, degrees): 3.0010 3.0010 16.0372 90.00 90.00 120.00
Last column: nearest neighbours and their distance in Å.
Space group R3m (No. 160, hexagonal axes)
One atom of each set of equivalent atoms:
Ta 0.0000 0.0000 0.0000 [3 per cell]  6 N 2.18-2.20
Ti 0.0000 0.0000 0.8254 [3 per cell]  6 N 2.12-2.25
N 0.0000 0.0000 0.4158 [3 per cell]  3 Ti 2.12, 3 Ta 2.18
N 0.0000 0.0000 0.5818 [3 per cell]  3 Ta 2.20, 3 Ti 2.25

raw formation energy: -1244 meV per atom
uncorrected energy: -10.34 eV per atom
total moment: 0.0 μB/cell

Computed, not measured: a relaxed Ta2TiVN crystal at the PBE level of DFT.

Lattice parameters (Å, degrees): 4.3573 4.3573 3.8335 90.00 90.00 90.00
Last column: nearest neighbours and their distance in Å.
Space group P4/mmm (No. 123)
One atom of each set of equivalent atoms:
Ta 0.0000 0.5000 0.0000 [2 per cell]  2 N 2.18
Ti 0.0000 0.0000 0.5000 [1 per cell]  8 Ta 2.90, 4 V 3.08
V 0.5000 0.5000 0.5000 [1 per cell]  2 N 1.92
N 0.5000 0.5000 0.0000 [1 per cell]  2 V 1.92

raw formation energy: -531 meV per atom
uncorrected energy: -10.34 eV per atom
total moment: 0.0 μB/cell

Computed, not measured: a relaxed TaTi2VN crystal at the PBE level of DFT.

Lattice parameters (Å, degrees): 4.2126 4.2126 3.9352 90.00 90.00 90.00
Last column: nearest neighbours and their distance in Å.
Space group P4/mmm (No. 123)
One atom of each set of equivalent atoms:
Ta 0.0000 0.0000 0.0000 [1 per cell]  8 Ti 2.88, 4 V 2.98
Ti 0.0000 0.5000 0.5000 [2 per cell]  2 N 2.11
V 0.5000 0.5000 0.0000 [1 per cell]  2 N 1.97
N 0.5000 0.5000 0.5000 [1 per cell]  2 V 1.97, 4 Ti 2.11

raw formation energy: -621 meV per atom
uncorrected energy: -9.64 eV per atom
total moment: 0.0 μB/cell
energy above the most stable polymorph in this dataset: 0 meV per atom

Computed, not measured: a relaxed TaTi2VN crystal at the PBE level of DFT.

Lattice parameters (Å, degrees): 4.0743 4.0743 4.3103 90.00 90.00 90.00
Last column: nearest neighbours and their distance in Å.
Space group P4/mmm (No. 123)
One atom of each set of equivalent atoms:
Ta 0.0000 0.0000 0.0000 [1 per cell]  2 N 2.16
Ti 0.0000 0.5000 0.5000 [2 per cell]  2 N 2.04
V 0.5000 0.5000 0.0000 [1 per cell]  4 Ta 2.88, 8 Ti 2.97
N 0.0000 0.0000 0.5000 [1 per cell]  4 Ti 2.04, 2 Ta 2.16

raw formation energy: -612 meV per atom
uncorrected energy: -9.63 eV per atom
total moment: 0.0 μB/cell
energy above the most stable polymorph in this dataset: 9 meV per atom

Computed, not measured: a relaxed TaTiWN2 crystal at the PBE level of DFT.

Lattice parameters (Å, degrees): 3.9471 3.9471 5.2252 90.00 90.00 90.00
Last column: nearest neighbours and their distance in Å.
Space group P4/mmm (No. 123)
One atom of each set of equivalent atoms:
Ta 0.0000 0.0000 0.0000 [1 per cell]  2 W 2.61, 4 Ti 2.79
Ti 0.5000 0.5000 0.0000 [1 per cell]  4 Ta 2.79
W 0.0000 0.0000 0.5000 [1 per cell]  4 N 1.97
N 0.0000 0.5000 0.5000 [2 per cell]  2 W 1.97

raw formation energy: 965 meV per atom
uncorrected energy: -8.91 eV per atom
total moment: 0.0 μB/cell

Computed, not measured: a relaxed ZrTa2TiN crystal at the PBE level of DFT.

Lattice parameters (Å, degrees): 4.2374 4.2374 4.5925 90.00 90.00 90.00
Last column: nearest neighbours and their distance in Å.
Space group P4/mmm (No. 123)
One atom of each set of equivalent atoms:
Zr 0.0000 0.0000 0.0000 [1 per cell]  2 N 2.30
Ta 0.0000 0.5000 0.5000 [2 per cell]  2 N 2.12
Ti 0.5000 0.5000 0.0000 [1 per cell]  4 Zr 3.00, 8 Ta 3.12
N 0.0000 0.0000 0.5000 [1 per cell]  4 Ta 2.12, 2 Zr 2.30

raw formation energy: -540 meV per atom
uncorrected energy: -10.23 eV per atom
total moment: 0.0 μB/cell
energy above the most stable polymorph in this dataset: 21 meV per atom